(1)
Compound: SmPt4
Source: Alexandria via LeMat-Bulk
Functional: GGA-PBE
Structure: optimized geometry

* energy relative to the lowest polymorph listed for this composition: 139 meV/atom
* space group: I-43m, No. 217
* formation energy from the elements: -0.59 eV per atom
* E_tot: -127.3 eV per cell

Geometry as CIF:
```
data_SmPt4
_chemical_formula_sum 'Sm4 Pt16'
_space_group_name_H-M_alt 'P 1'
_space_group_IT_number 1
_cell_length_a 7.979
_cell_length_b 7.979
_cell_length_c 7.979
_cell_angle_alpha 109.47
_cell_angle_beta 109.47
_cell_angle_gamma 109.47
loop_
_space_group_symop_operation_xyz
'x,y,z'
loop_
_atom_site_label
_atom_site_fract_x
_atom_site_fract_y
_atom_site_fract_z
Sm1 0.000 0.000 0.556
Sm2 0.556 0.000 0.000
Sm3 0.444 0.444 0.444
Sm4 0.000 0.556 0.000
Pt1 0.500 0.750 0.250
Pt2 0.000 0.000 0.212
Pt3 0.652 0.652 0.000
Pt4 0.348 0.348 0.000
Pt5 0.750 0.500 0.250
Pt6 0.000 0.212 0.000
Pt7 0.250 0.500 0.750
Pt8 0.788 0.788 0.788
Pt9 0.250 0.750 0.500
Pt10 0.348 0.000 0.348
Pt11 0.750 0.250 0.500
Pt12 0.500 0.250 0.750
Pt13 0.000 0.348 0.348
Pt14 0.212 0.000 0.000
Pt15 0.652 0.000 0.652
Pt16 0.000 0.652 0.652
```

***

(2)
Compound: ThPaTc2Ge2
Source: Alexandria via LeMat-Bulk
Functional: GGA-PBE
Structure: optimized geometry

* space group: P-3m1, No. 164
* formation energy from the elements: -0.41 eV per atom
* E_tot: -49.3 eV per cell

Geometry as CIF:
```
data_ThPaTc2Ge2
_chemical_formula_sum 'Th1 Pa1 Tc2 Ge2'
_space_group_name_H-M_alt 'P 1'
_space_group_IT_number 1
_cell_length_a 4.402
_cell_length_b 4.402
_cell_length_c 7.336
_cell_angle_alpha 90.00
_cell_angle_beta 90.00
_cell_angle_gamma 120.00
loop_
_space_group_symop_operation_xyz
'x,y,z'
loop_
_atom_site_label
_atom_site_fract_x
_atom_site_fract_y
_atom_site_fract_z
Th1 0.000 0.000 0.000
Tc1 0.333 0.667 0.722
Tc2 0.667 0.333 0.278
Pa1 0.000 0.000 0.500
Ge1 0.333 0.667 0.259
Ge2 0.667 0.333 0.741
```

***

(3)
Compound: LiScHgCl6
Source: Alexandria via LeMat-Bulk
Functional: GGA-PBE
Structure: optimized geometry

* space group: P-31c, No. 163
* E_tot: -66.0 eV per cell

Geometry as CIF:
```
data_LiScHgCl6
_chemical_formula_sum 'Li2 Sc2 Hg2 Cl12'
_space_group_name_H-M_alt 'P 1'
_space_group_IT_number 1
_cell_length_a 6.562
_cell_length_b 6.562
_cell_length_c 11.885
_cell_angle_alpha 90.00
_cell_angle_beta 90.00
_cell_angle_gamma 120.00
loop_
_space_group_symop_operation_xyz
'x,y,z'
loop_
_atom_site_label
_atom_site_fract_x
_atom_site_fract_y
_atom_site_fract_z
Hg1 0.333 0.667 0.750
Hg2 0.667 0.333 0.250
Cl1 0.329 0.353 0.373
Cl2 0.024 0.353 0.127
Cl3 0.024 0.671 0.373
Cl4 0.647 0.976 0.373
Cl5 0.671 0.024 0.873
Cl6 0.353 0.024 0.627
Cl7 0.329 0.976 0.127
Cl8 0.647 0.671 0.127
Cl9 0.671 0.647 0.627
Cl10 0.976 0.329 0.627
Cl11 0.976 0.647 0.873
Cl12 0.353 0.329 0.873
Sc1 0.333 0.667 0.250
Sc2 0.667 0.333 0.750
Li1 0.000 0.000 0.500
Li2 0.000 0.000 0.000
```

***

(4)
Compound: DyBe4Os
Source: Alexandria via LeMat-Bulk
Functional: GGA-PBE
Structure: optimized geometry

* space group: F-43m, No. 216
* formation energy from the elements: -0.13 eV per atom
* E_tot: -31.5 eV per cell

Geometry as CIF:
```
data_DyBe4Os
_chemical_formula_sum 'Dy1 Be4 Os1'
_space_group_name_H-M_alt 'P 1'
_space_group_IT_number 1
_cell_length_a 4.676
_cell_length_b 4.676
_cell_length_c 4.676
_cell_angle_alpha 60.00
_cell_angle_beta 60.00
_cell_angle_gamma 60.00
loop_
_space_group_symop_operation_xyz
'x,y,z'
loop_
_atom_site_label
_atom_site_fract_x
_atom_site_fract_y
_atom_site_fract_z
Be1 0.629 0.114 0.629
Be2 0.629 0.629 0.114
Be3 0.114 0.629 0.629
Be4 0.629 0.629 0.629
Os1 0.000 0.000 0.000
Dy1 0.250 0.250 0.250
```

***

(5)
Compound: La4Pm3Se8
Source: Alexandria via LeMat-Bulk
Functional: GGA-PBE
Structure: optimized geometry

* energy relative to the lowest polymorph listed for this composition: 224 meV/atom
* space group: R-3m, No. 166
* E_tot: -87.6 eV per cell

Geometry as CIF:
```
data_La4Pm3Se8
_chemical_formula_sum 'La4 Pm3 Se8'
_space_group_name_H-M_alt 'P 1'
_space_group_IT_number 1
_cell_length_a 8.337
_cell_length_b 8.337
_cell_length_c 9.201
_cell_angle_alpha 63.06
_cell_angle_beta 63.06
_cell_angle_gamma 60.00
loop_
_space_group_symop_operation_xyz
'x,y,z'
loop_
_atom_site_label
_atom_site_fract_x
_atom_site_fract_y
_atom_site_fract_z
La1 0.500 0.500 0.500
La2 0.353 0.353 0.942
La3 0.647 0.647 0.058
La4 0.000 0.000 0.000
Pm1 0.000 0.000 0.500
Pm2 0.000 0.500 0.500
Pm3 0.500 0.000 0.500
Se1 0.751 0.239 0.260
Se2 0.249 0.761 0.740
Se3 0.761 0.249 0.740
Se4 0.249 0.249 0.740
Se5 0.768 0.768 0.697
Se6 0.239 0.751 0.260
Se7 0.751 0.751 0.260
Se8 0.232 0.232 0.303
```

***

(6)
Compound: TcW2Cl
Source: Alexandria via LeMat-Bulk
Functional: GGA-PBE
Structure: optimized geometry

* energy relative to the lowest polymorph listed for this composition: 565 meV/atom
* space group: C2/m, No. 12
* E_tot: -34.4 eV per cell

Geometry as CIF:
```
data_TcW2Cl
_chemical_formula_sum 'Tc1 W2 Cl1'
_space_group_name_H-M_alt 'P 1'
_space_group_IT_number 1
_cell_length_a 5.211
_cell_length_b 5.083
_cell_length_c 2.860
_cell_angle_alpha 80.20
_cell_angle_beta 77.49
_cell_angle_gamma 116.85
loop_
_space_group_symop_operation_xyz
'x,y,z'
loop_
_atom_site_label
_atom_site_fract_x
_atom_site_fract_y
_atom_site_fract_z
Tc1 0.500 0.500 0.000
W1 0.500 0.000 0.500
W2 0.000 0.000 0.000
Cl1 0.000 0.500 0.500
```

***

(7)
Compound: Sc3AuF
Source: Alexandria via LeMat-Bulk
Functional: GGA-PBE
Structure: optimized geometry

* energy relative to the lowest polymorph listed for this composition: 0 meV/atom
* space group: Pm-3m, No. 221
* E_tot: -30.0 eV per cell

Geometry as CIF:
```
data_Sc3AuF
_chemical_formula_sum 'Sc3 Au1 F1'
_space_group_name_H-M_alt 'P 1'
_space_group_IT_number 1
_cell_length_a 4.442
_cell_length_b 4.442
_cell_length_c 4.442
_cell_angle_alpha 90.00
_cell_angle_beta 90.00
_cell_angle_gamma 90.00
loop_
_space_group_symop_operation_xyz
'x,y,z'
loop_
_atom_site_label
_atom_site_fract_x
_atom_site_fract_y
_atom_site_fract_z
Au1 0.500 0.500 0.500
Sc1 0.500 0.000 0.000
Sc2 0.000 0.000 0.500
Sc3 0.000 0.500 0.000
F1 0.000 0.000 0.000
```

***

(8)
Compound: Na2Os3O10
Source: Alexandria via LeMat-Bulk
Functional: GGA-PBE
Structure: optimized geometry

* space group: C2/m, No. 12
* E_tot: -205.5 eV per cell

Geometry as CIF:
```
data_Na2Os3O10
_chemical_formula_sum 'Na4 Os6 O20'
_space_group_name_H-M_alt 'P 1'
_space_group_IT_number 1
_cell_length_a 5.657
_cell_length_b 7.588
_cell_length_c 9.537
_cell_angle_alpha 111.28
_cell_angle_beta 107.25
_cell_angle_gamma 90.00
loop_
_space_group_symop_operation_xyz
'x,y,z'
loop_
_atom_site_label
_atom_site_fract_x
_atom_site_fract_y
_atom_site_fract_z
O1 0.023 0.185 0.047
O2 0.768 0.716 0.535
O3 0.132 0.748 0.265
O4 0.000 0.000 0.500
O5 0.612 0.541 0.723
O6 0.142 0.972 0.779
O7 0.788 0.500 0.000
O8 0.638 0.972 0.779
O9 0.500 0.000 0.500
O10 0.479 0.788 0.957
O11 0.521 0.212 0.043
O12 0.868 0.252 0.735
O13 0.388 0.459 0.277
O14 0.858 0.028 0.221
O15 0.111 0.541 0.723
O16 0.232 0.284 0.465
O17 0.362 0.028 0.221
O18 0.977 0.815 0.953
O19 0.212 0.500 0.000
O20 0.889 0.459 0.277
Na1 0.403 0.295 0.806
Na2 0.702 0.321 0.403
Na3 0.597 0.705 0.194
Na4 0.298 0.679 0.597
Os1 0.815 0.969 0.631
Os2 0.280 0.000 0.000
Os3 0.915 0.514 0.830
Os4 0.720 0.000 0.000
Os5 0.185 0.031 0.369
Os6 0.085 0.486 0.170
```

***

(9)
Compound: Tb2Pm3ThSe6
Source: Alexandria via LeMat-Bulk
Functional: GGA-PBE
Structure: optimized geometry

* space group: C2/m, No. 12
* E_tot: -72.9 eV per cell

Geometry as CIF:
```
data_Tb2Pm3ThSe6
_chemical_formula_sum 'Tb2 Pm3 Th1 Se6'
_space_group_name_H-M_alt 'P 1'
_space_group_IT_number 1
_cell_length_a 4.153
_cell_length_b 8.364
_cell_length_c 9.287
_cell_angle_alpha 102.34
_cell_angle_beta 102.92
_cell_angle_gamma 90.00
loop_
_space_group_symop_operation_xyz
'x,y,z'
loop_
_atom_site_label
_atom_site_fract_x
_atom_site_fract_y
_atom_site_fract_z
Tb1 0.165 0.330 0.330
Tb2 0.835 0.670 0.670
Se1 0.670 0.091 0.339
Se2 0.330 0.909 0.661
Se3 0.330 0.422 0.660
Se4 0.670 0.578 0.340
Se5 0.997 0.745 0.993
Se6 0.003 0.255 0.007
Th1 0.500 0.000 0.000
Pm1 0.500 0.500 0.000
Pm2 0.162 0.834 0.325
Pm3 0.838 0.166 0.675
```

***

(10)
Compound: CoOs2Ru
Source: Alexandria via LeMat-Bulk
Functional: GGA-PBE
Structure: optimized geometry

* energy relative to the lowest polymorph listed for this composition: 330 meV/atom
* space group: R3m, No. 160
* formation energy from the elements: 0.47 eV per atom
* E_tot: -37.0 eV per cell

Geometry as CIF:
```
data_CoOs2Ru
_chemical_formula_sum 'Co1 Os2 Ru1'
_space_group_name_H-M_alt 'P 1'
_space_group_IT_number 1
_cell_length_a 4.100
_cell_length_b 4.100
_cell_length_c 4.601
_cell_angle_alpha 63.55
_cell_angle_beta 63.55
_cell_angle_gamma 60.00
loop_
_space_group_symop_operation_xyz
'x,y,z'
loop_
_atom_site_label
_atom_site_fract_x
_atom_site_fract_y
_atom_site_fract_z
Ru1 0.485 0.485 0.546
Os1 0.269 0.269 0.194
Os2 0.044 0.044 0.868
Co1 0.703 0.703 0.892
```

***

(11)
Compound: In2GeC
Source: Alexandria via LeMat-Bulk
Functional: GGA-PBE
Structure: optimized geometry

* energy relative to the lowest polymorph listed for this composition: 0 meV/atom
* space group: I-42d, No. 122
* formation energy from the elements: 0.80 eV per atom
* E_tot: -32.2 eV per cell

Geometry as CIF:
```
data_In2GeC
_chemical_formula_sum 'In4 Ge2 C2'
_space_group_name_H-M_alt 'P 1'
_space_group_IT_number 1
_cell_length_a 6.007
_cell_length_b 6.007
_cell_length_c 6.590
_cell_angle_alpha 62.88
_cell_angle_beta 62.88
_cell_angle_gamma 90.00
loop_
_space_group_symop_operation_xyz
'x,y,z'
loop_
_atom_site_label
_atom_site_fract_x
_atom_site_fract_y
_atom_site_fract_z
In1 0.875 0.794 0.750
In2 0.375 0.456 0.750
In3 0.544 0.125 0.250
In4 0.206 0.625 0.250
Ge1 0.750 0.250 0.500
Ge2 0.000 0.000 0.000
C1 0.250 0.750 0.500
C2 0.500 0.500 0.000
```

***

(12)
Compound: ErBeCu6Si
Source: Alexandria via LeMat-Bulk
Functional: GGA-PBE
Structure: optimized geometry

* space group: Imma, No. 74
* E_tot: -78.2 eV per cell

Geometry as CIF:
```
data_ErBeCu6Si
_chemical_formula_sum 'Er2 Be2 Cu12 Si2'
_space_group_name_H-M_alt 'P 1'
_space_group_IT_number 1
_cell_length_a 7.883
_cell_length_b 4.961
_cell_length_c 8.019
_cell_angle_alpha 108.02
_cell_angle_beta 119.44
_cell_angle_gamma 90.00
loop_
_space_group_symop_operation_xyz
'x,y,z'
loop_
_atom_site_label
_atom_site_fract_x
_atom_site_fract_y
_atom_site_fract_z
Cu1 0.148 0.411 0.813
Cu2 0.645 0.895 0.290
Cu3 0.355 0.105 0.710
Cu4 0.336 0.589 0.187
Cu5 0.664 0.902 0.813
Cu6 0.004 0.254 0.007
Cu7 0.664 0.411 0.813
Cu8 0.148 0.902 0.813
Cu9 0.996 0.746 0.993
Cu10 0.336 0.098 0.187
Cu11 0.852 0.098 0.187
Cu12 0.852 0.589 0.187
Er1 0.244 0.494 0.488
Er2 0.756 0.506 0.512
Be1 0.500 0.500 0.000
Be2 0.500 0.000 0.000
Si1 0.500 0.000 0.500
Si2 0.000 0.000 0.500
```